# 1
RbIn2Hg8: optimized geometry, GGA-PBE.

Cell: 4.826 4.826 14.712 Å, 90.00 90.00 90.00°
Fractional coordinates of all 11 atoms:
Rb: 0.000 0.000 0.000
In: 0.000 0.000 0.354
In: 0.000 0.000 0.646
Hg: 0.000 0.500 0.189
Hg: 0.000 0.500 0.500
Hg: 0.000 0.500 0.811
Hg: 0.500 0.000 0.189
Hg: 0.500 0.000 0.500
Hg: 0.500 0.000 0.811
Hg: 0.500 0.500 0.348
Hg: 0.500 0.500 0.652

Properties
DFT formation energy in meV per atom: -75
Calculated volume in A^3/atom: 31.151

---

# 2
RbIn6Hg: optimized geometry, GGA-PBE.

Cell: 10.857 10.857 10.857 Å, 28.33 28.33 28.33°
Fractional coordinates of all 8 atoms:
Rb: 0.000 0.000 0.000
In: 0.134 0.134 0.134
In: 0.239 0.239 0.239
In: 0.406 0.406 0.406
In: 0.594 0.594 0.594
In: 0.761 0.761 0.761
In: 0.866 0.866 0.866
Hg: 0.500 0.500 0.500

Properties
Offset from the most stable computed form in meV per atom: 46
DFT formation energy in meV per atom: -34
Calculated volume in A^3/atom: 31.827

---

# 3
Rb2In2Hg5: optimized geometry, GGA-PBE.

Cell: 5.688 5.688 9.634 Å, 90.00 90.00 90.00°
Fractional coordinates of all 9 atoms:
Rb: 0.000 0.000 0.000
Rb: 0.000 0.000 0.500
In: 0.500 0.500 0.161
In: 0.500 0.500 0.839
Hg: 0.000 0.500 0.252
Hg: 0.000 0.500 0.748
Hg: 0.500 0.000 0.252
Hg: 0.500 0.000 0.748
Hg: 0.500 0.500 0.500

Properties
DFT formation energy in meV per atom: -134
Calculated volume in A^3/atom: 34.631

---

# 4
RbIn4Hg15: optimized geometry, GGA-PBE.

Cell: 5.195 5.195 20.796 Å, 90.00 90.00 90.00°
Fractional coordinates of all 20 atoms:
Rb: 0.000 0.000 0.000
In: 0.000 0.000 0.221
In: 0.000 0.000 0.404
In: 0.000 0.000 0.596
In: 0.000 0.000 0.779
Hg: 0.000 0.500 0.120
Hg: 0.000 0.500 0.311
Hg: 0.000 0.500 0.500
Hg: 0.000 0.500 0.689
Hg: 0.000 0.500 0.880
Hg: 0.500 0.000 0.120
Hg: 0.500 0.000 0.311
Hg: 0.500 0.000 0.500
Hg: 0.500 0.000 0.689
Hg: 0.500 0.000 0.880
Hg: 0.500 0.500 0.000
Hg: 0.500 0.500 0.214
Hg: 0.500 0.500 0.405
Hg: 0.500 0.500 0.595
Hg: 0.500 0.500 0.786

Properties
DFT formation energy in meV per atom: -49
Calculated volume in A^3/atom: 28.065

---

# 5
RbIn3Hg2: optimized geometry, GGA-PBE.

Cell: 6.497 6.497 5.070 Å, 90.00 90.00 120.00°
Fractional coordinates of all 6 atoms:
Rb: 0.000 0.000 0.000
In: 0.000 0.500 0.500
In: 0.500 0.000 0.500
In: 0.500 0.500 0.500
Hg: 0.333 0.667 0.000
Hg: 0.667 0.333 0.000

Properties
Offset from the most stable computed form in meV per atom: 12
DFT formation energy in meV per atom: -95
Calculated volume in A^3/atom: 30.891

---

# 6
Rb3In2Hg7: optimized geometry, GGA-PBE.

Cell: 15.994 15.994 4.864 Å, 90.00 90.00 158.79°
Fractional coordinates of all 12 atoms:
Rb: 0.000 0.000 0.000
Rb: 0.201 0.799 0.000
Rb: 0.799 0.201 0.000
In: 0.408 0.592 0.500
In: 0.592 0.408 0.500
Hg: 0.096 0.904 0.500
Hg: 0.290 0.710 0.500
Hg: 0.358 0.642 0.000
Hg: 0.500 0.500 0.500
Hg: 0.642 0.358 0.000
Hg: 0.710 0.290 0.500
Hg: 0.904 0.096 0.500

Properties
DFT formation energy in meV per atom: -124
Calculated volume in A^3/atom: 37.513

---

# 7
RbInHg5: optimized geometry, GGA-PBE.

Cell: 5.207 5.207 8.486 Å, 90.00 90.00 90.00°
Fractional coordinates of all 7 atoms:
Rb: 0.000 0.000 0.000
In: 0.000 0.000 0.500
Hg: 0.000 0.500 0.296
Hg: 0.000 0.500 0.704
Hg: 0.500 0.000 0.296
Hg: 0.500 0.000 0.704
Hg: 0.500 0.500 0.000

Properties
Offset from the most stable computed form in meV per atom: 0
DFT formation energy in meV per atom: -95
Calculated volume in A^3/atom: 32.873

---

# 8
Rb3In7Hg4: optimized geometry, GGA-PBE.

Cell: 9.665 9.665 10.722 Å, 122.37 122.37 31.76°
Fractional coordinates of all 14 atoms:
Rb: 0.000 0.000 0.000
Rb: 0.294 0.294 0.292
Rb: 0.706 0.706 0.708
In: 0.000 0.000 0.500
In: 0.143 0.143 0.427
In: 0.338 0.338 0.985
In: 0.498 0.498 0.682
In: 0.502 0.502 0.318
In: 0.662 0.662 0.015
In: 0.857 0.857 0.573
Hg: 0.137 0.137 0.855
Hg: 0.340 0.340 0.704
Hg: 0.660 0.660 0.296
Hg: 0.863 0.863 0.145

Properties
DFT formation energy in meV per atom: -113
Calculated volume in A^3/atom: 31.281

---

Look up the calculated volume of the third one.
34.631 A^3/atom